Here is an optimized crystal structure of SnSbAs2Se from Alexandria via LeMat-Bulk. Energies are from PBEsol.

Formation energy from raw total energies in eV per atom: 0.656

Lattice parameters (Å, degrees): 5.183 5.183 5.229 90.00 90.00 90.00
Fractional coordinates of all 5 atoms:
Sn (0.000, 0.000, 0.000)
Sb (0.500, 0.500, 0.500)
As (0.000, 0.500, 0.500)
As (0.500, 0.000, 0.500)
Se (0.500, 0.500, 0.000)

Here is an optimized crystal structure of TcSbAsSe2 from Alexandria via LeMat-Bulk. Energies are from PBEsol.

Formation energy from raw total energies in eV per atom: 1.396

Lattice parameters (Å, degrees): 5.185 5.185 5.149 90.00 90.00 90.00
Fractional coordinates of all 5 atoms:
Tc (0.000, 0.000, 0.000)
Sb (0.500, 0.500, 0.500)
As (0.500, 0.500, 0.000)
Se (0.000, 0.500, 0.500)
Se (0.500, 0.000, 0.500)

Here is an optimized crystal structure of SbTe2AsSe from Alexandria via LeMat-Bulk. Energies are from PBEsol.

Formation energy from raw total energies in eV per atom: 0.713
Excess energy over the best structure of this formula in the dataset in eV/f.u.: 0.000

Lattice parameters (Å, degrees): 5.231 5.231 5.421 90.00 90.00 90.00
Fractional coordinates of all 5 atoms:
Sb (0.000, 0.000, 0.000)
Te (0.000, 0.500, 0.500)
Te (0.500, 0.000, 0.500)
As (0.000, 0.000, 0.500)
Se (0.500, 0.500, 0.000)

Here is an optimized crystal structure of SbTe2AsSe from Alexandria via LeMat-Bulk. Energies are from PBEsol.

Formation energy from raw total energies in eV per atom: 0.829
Excess energy over the best structure of this formula in the dataset in eV/f.u.: 0.578

Lattice parameters (Å, degrees): 5.367 5.367 5.251 90.00 90.00 90.00
Fractional coordinates of all 5 atoms:
Sb (0.000, 0.000, 0.000)
Te (0.000, 0.500, 0.500)
Te (0.500, 0.000, 0.500)
As (0.500, 0.500, 0.000)
Se (0.000, 0.000, 0.500)